Compound: KMo4Os
Source: Alexandria via LeMat-Bulk
Functional: PBE
Structure: optimized geometry

D(E_F) = 5.0 states/eV per cell
symmetry = F-43m
electronic total energy = -8.192 eV/atom
energy relative to the elements = 1.083 eV per atom

abc: 5.3222 5.3222 5.3222
angles: 60.00 60.00 60.00
With the nearest neighbours (Å) after each atom.
Fractional positions:
K  0.0000  0.0000  0.0000  12 Mo 3.12, 4 Os 3.26
Mo  0.1244  0.6252  0.6252  6 Mo 2.66-2.67
Mo  0.6252  0.1244  0.6252  6 Mo 2.66-2.67
Mo  0.6252  0.6252  0.1244  6 Mo 2.66-2.67
Mo  0.6252  0.6252  0.6252  6 Mo 2.66-2.67
Os  0.2500  0.2500  0.2500  12 Mo 3.12, 4 K 3.26